Record 1
DFT (PBE-GGA) results for a relaxed structure of Gd2Si2IBr.

Computed properties:
Symmetry = P3m1

Unit cell a=4.1039 b=4.1039 c=11.7344 alpha=90.00 beta=90.00 gamma=120.00
Sites, in units of the cell vectors:
1 Gd 0.0000 0.0000 0.0000
2 Gd 0.0000 0.0000 0.3262
3 Si 0.3333 0.6667 0.1559
4 Si 0.6667 0.3333 0.1708
5 I 0.3333 0.6667 0.5032
6 Br 0.6667 0.3333 0.8441



Record 2
DFT (PBE-GGA) results for a relaxed structure of GdInBr6.

Computed properties:
Symmetry = C2

Unit cell a=7.0924 b=7.0924 c=7.0816 alpha=99.91 beta=99.91 gamma=120.25
Sites, in units of the cell vectors:
1 Gd 0.0000 0.0000 0.0000
2 In 0.6694 0.3306 0.0000
3 Br 0.0566 0.3997 0.2409
4 Br 0.2660 0.2328 0.7600
5 Br 0.4288 0.1082 0.2377
6 Br 0.6003 0.9434 0.7591
7 Br 0.7672 0.7340 0.2400
8 Br 0.8918 0.5712 0.7623



Record 3
DFT (PBE-GGA) results for a relaxed structure of GdYIn2Br2.

Computed properties:
Symmetry = P3m1

Unit cell a=4.4338 b=4.4338 c=10.8704 alpha=90.00 beta=90.00 gamma=120.00
Sites, in units of the cell vectors:
1 Gd 0.0000 0.0000 0.0000
2 Y 0.0000 0.0000 0.5906
3 In 0.3333 0.6667 0.8436
4 In 0.6667 0.3333 0.7456
5 Br 0.3333 0.6667 0.4418
6 Br 0.6667 0.3333 0.1508



Record 4
DFT (PBE-GGA) results for a relaxed structure of Gd5Ir2Br5.

Computed properties:
Symmetry = Pnma

Unit cell a=12.6675 b=4.1507 c=26.3402 alpha=90.00 beta=90.00 gamma=90.00
Sites, in units of the cell vectors:
1 Gd 0.0058 0.2500 0.0551
2 Gd 0.1081 0.7500 0.4259
3 Gd 0.1172 0.2500 0.3065
4 Gd 0.1508 0.2500 0.8487
5 Gd 0.2365 0.7500 0.0140
6 Gd 0.2635 0.2500 0.5140
7 Gd 0.3492 0.7500 0.3487
8 Gd 0.3828 0.7500 0.8065
9 Gd 0.3919 0.2500 0.9259
10 Gd 0.4942 0.7500 0.5551
11 Gd 0.5058 0.2500 0.4449
12 Gd 0.6081 0.7500 0.0741
13 Gd 0.6172 0.2500 0.1935
14 Gd 0.6508 0.2500 0.6513
15 Gd 0.7365 0.7500 0.4860
16 Gd 0.7635 0.2500 0.9860
17 Gd 0.8492 0.7500 0.1513
18 Gd 0.8828 0.7500 0.6935
19 Gd 0.8919 0.2500 0.5741
20 Gd 0.9942 0.7500 0.9449
21 Ir 0.1449 0.2500 0.9630
22 Ir 0.2391 0.2500 0.3970
23 Ir 0.2609 0.7500 0.8970
24 Ir 0.3551 0.7500 0.4630
25 Ir 0.6449 0.2500 0.5370
26 Ir 0.7391 0.2500 0.1030
27 Ir 0.7609 0.7500 0.6030
28 Ir 0.8551 0.7500 0.0370
29 Br 0.0217 0.7500 0.7898
30 Br 0.0344 0.2500 0.6642
31 Br 0.0833 0.7500 0.5445
32 Br 0.1380 0.7500 0.1146
33 Br 0.2266 0.7500 0.2503
34 Br 0.2734 0.2500 0.7503
35 Br 0.3620 0.2500 0.6146
36 Br 0.4167 0.2500 0.0445
37 Br 0.4656 0.7500 0.1642
38 Br 0.4783 0.2500 0.2898
39 Br 0.5217 0.7500 0.7102
40 Br 0.5344 0.2500 0.8358
41 Br 0.5833 0.7500 0.9555
42 Br 0.6380 0.7500 0.3854
43 Br 0.7266 0.7500 0.2497
44 Br 0.7734 0.2500 0.7497
45 Br 0.8620 0.2500 0.8854
46 Br 0.9167 0.2500 0.4555
47 Br 0.9656 0.7500 0.3358
48 Br 0.9783 0.2500 0.2102



| no. | total energy (eV per atom) |
| --- | --- |
| 1 | -5.0338 |
| 2 | -3.5133 |
| 3 | -4.3088 |
| 4 | -5.5068 |